A plane-wave DFT calculation with PBE was carried out for a relaxed structure of AcTh2Ag2Pb2.

Energy of formation, kJ/mol of atoms: -10.6
Calculated density, g/cm3: 10.402
Space group: R-3m, No. 166

```
data_AcTh2Ag2Pb2
_space_group_name_H-M_alt 'P 1'
_space_group_IT_number 1
_cell_length_a 9.6933
_cell_length_b 9.6933
_cell_length_c 9.6933
_cell_angle_alpha 30.73
_cell_angle_beta 30.73
_cell_angle_gamma 30.73
loop_
_space_group_symop_operation_xyz
'x,y,z'
loop_
_atom_site_label
_atom_site_fract_x
_atom_site_fract_y
_atom_site_fract_z
_atom_site_occupancy
Ac1 0.0000 0.0000 0.0000 1
Th1 0.1348 0.1348 0.1348 1
Th2 0.8652 0.8652 0.8652 1
Ag1 0.4429 0.4429 0.4429 1
Ag2 0.5571 0.5571 0.5571 1
Pb1 0.2632 0.2632 0.2632 1
Pb2 0.7368 0.7368 0.7368 1
```

=====

A plane-wave DFT calculation with PBE was carried out for a relaxed structure of ReSbRu2.

Calculated density, g/cm3: 13.207
Space group: R-3m, No. 166
Formation energy from raw total energies, meV per atom: 318

```
data_ReSbRu2
_space_group_name_H-M_alt 'P 1'
_space_group_IT_number 1
_cell_length_a 8.7923
_cell_length_b 8.7923
_cell_length_c 8.7923
_cell_angle_alpha 19.18
_cell_angle_beta 19.18
_cell_angle_gamma 19.18
loop_
_space_group_symop_operation_xyz
'x,y,z'
loop_
_atom_site_label
_atom_site_fract_x
_atom_site_fract_y
_atom_site_fract_z
_atom_site_occupancy
Re1 0.0000 0.0000 0.0000 1
Sb1 0.5000 0.5000 0.5000 1
Ru1 0.2525 0.2525 0.2525 1
Ru2 0.7475 0.7475 0.7475 1
```

=====

A plane-wave DFT calculation with PBE was carried out for a relaxed structure of Ba6Sr2PtRh.

Energy of formation, kJ/mol of atoms: -24.9
Calculated density, g/cm3: 4.257
Space group: I4mm, No. 107

```
data_Ba6Sr2PtRh
_space_group_name_H-M_alt 'P 1'
_space_group_IT_number 1
_cell_length_a 8.9459
_cell_length_b 8.9459
_cell_length_c 8.9459
_cell_angle_alpha 120.03
_cell_angle_beta 120.03
_cell_angle_gamma 89.94
loop_
_space_group_symop_operation_xyz
'x,y,z'
loop_
_atom_site_label
_atom_site_fract_x
_atom_site_fract_y
_atom_site_fract_z
_atom_site_occupancy
Ba1 0.0000 0.0000 0.0000 1
Ba2 0.0002 0.0002 0.5047 1
Ba3 0.0002 0.4955 0.0000 1
Ba4 0.4955 0.0002 0.0000 1
Ba5 0.4952 0.4952 0.0000 1
Ba6 0.4955 0.4955 0.4953 1
Sr1 0.4980 0.9980 0.5000 1
Sr2 0.9980 0.4980 0.5000 1
Pt1 0.7476 0.7476 0.0000 1
Rh1 0.2474 0.2474 0.0000 1
```

=====

A plane-wave DFT calculation with PBE was carried out for a relaxed structure of Ac2Cu4AgGe3.

Energy of formation, kJ/mol of atoms: -39.7
Calculated density, g/cm3: 8.678
Space group: P-4m2, No. 115

```
data_Ac2Cu4AgGe3
_space_group_name_H-M_alt 'P 1'
_space_group_IT_number 1
_cell_length_a 4.4294
_cell_length_b 4.4294
_cell_length_c 10.0845
_cell_angle_alpha 90.00
_cell_angle_beta 90.00
_cell_angle_gamma 90.00
loop_
_space_group_symop_operation_xyz
'x,y,z'
loop_
_atom_site_label
_atom_site_fract_x
_atom_site_fract_y
_atom_site_fract_z
_atom_site_occupancy
Ac1 0.0000 0.5000 0.2419 1
Ac2 0.5000 0.0000 0.7581 1
Cu1 0.0000 0.0000 0.0000 1
Cu2 0.0000 0.5000 0.6305 1
Cu3 0.5000 0.0000 0.3695 1
Cu4 0.5000 0.5000 0.0000 1
Ag1 0.0000 0.0000 0.5000 1
Ge1 0.0000 0.5000 0.8748 1
Ge2 0.5000 0.0000 0.1252 1
Ge3 0.5000 0.5000 0.5000 1
```

=====

A plane-wave DFT calculation with PBE was carried out for a relaxed structure of Mo4CN2.

Calculated density, g/cm3: 8.938
Space group: Fdd2, No. 43
Formation energy from raw total energies, meV per atom: -148

```
data_Mo4CN2
_space_group_name_H-M_alt 'P 1'
_space_group_IT_number 1
_cell_length_a 6.0639
_cell_length_b 5.8559
_cell_length_c 7.3520
_cell_angle_alpha 53.21
_cell_angle_beta 50.65
_cell_angle_gamma 76.14
loop_
_space_group_symop_operation_xyz
'x,y,z'
loop_
_atom_site_label
_atom_site_fract_x
_atom_site_fract_y
_atom_site_fract_z
_atom_site_occupancy
Mo1 0.1978 0.7847 0.0421 1
Mo2 0.2079 0.2746 0.0522 1
Mo3 0.2746 0.2079 0.4653 1
Mo4 0.2918 0.7082 0.4647 1
Mo5 0.7082 0.2918 0.5353 1
Mo6 0.7147 0.7853 0.5418 1
Mo7 0.7847 0.1978 0.9754 1
Mo8 0.7853 0.7147 0.9582 1
C1 0.2470 0.2470 0.7530 1
C2 0.4970 0.4970 0.0030 1
N1 0.2357 0.7528 0.7521 1
N2 0.4979 0.9906 0.0143 1
N3 0.7528 0.2357 0.2594 1
N4 0.9906 0.4979 0.4972 1
```

=====

A plane-wave DFT calculation with PBE was carried out for a relaxed structure of AcLaPrSm3.

Energy of formation, kJ/mol of atoms: 18.7
Calculated density, g/cm3: 7.190
Space group: C2/m, No. 12

```
data_AcLaPrSm3
_space_group_name_H-M_alt 'P 1'
_space_group_IT_number 1
_cell_length_a 10.7820
_cell_length_b 10.7820
_cell_length_c 7.2729
_cell_angle_alpha 90.44
_cell_angle_beta 90.44
_cell_angle_gamma 31.56
loop_
_space_group_symop_operation_xyz
'x,y,z'
loop_
_atom_site_label
_atom_site_fract_x
_atom_site_fract_y
_atom_site_fract_z
_atom_site_occupancy
Ac1 0.1476 0.1476 0.0400 1
Ac2 0.8524 0.8524 0.9600 1
La1 0.1437 0.1437 0.4880 1
La2 0.8563 0.8563 0.5120 1
Pr1 0.4474 0.4474 0.7314 1
Pr2 0.5526 0.5526 0.2686 1
Sm1 0.0202 0.0202 0.7471 1
Sm2 0.2811 0.2811 0.7321 1
Sm3 0.3372 0.3372 0.2478 1
Sm4 0.6628 0.6628 0.7522 1
Sm5 0.7189 0.7189 0.2679 1
Sm6 0.9798 0.9798 0.2529 1
```

=====

A plane-wave DFT calculation with PBE was carried out for a relaxed structure of LiTl2S.

Calculated density, g/cm3: 7.265
Space group: I-42d, No. 122
Formation energy from raw total energies, meV per atom: -277

```
data_LiTl2S
_space_group_name_H-M_alt 'P 1'
_space_group_IT_number 1
_cell_length_a 6.5355
_cell_length_b 6.5355
_cell_length_c 6.5355
_cell_angle_alpha 102.84
_cell_angle_beta 102.84
_cell_angle_gamma 123.75
loop_
_space_group_symop_operation_xyz
'x,y,z'
loop_
_atom_site_label
_atom_site_fract_x
_atom_site_fract_y
_atom_site_fract_z
_atom_site_occupancy
Li1 0.0000 0.0000 0.0000 1
Li2 0.7500 0.2500 0.5000 1
Tl1 0.1452 0.6250 0.0202 1
Tl2 0.3750 0.3952 0.5202 1
Tl3 0.6048 0.1250 0.9798 1
Tl4 0.8750 0.8548 0.4798 1
S1 0.2500 0.7500 0.5000 1
S2 0.5000 0.5000 0.0000 1
```

=====

| no. | DFT total energy (eV per atom) | total moment (μB/atom) | V (Å³ per cell) |
| --- | --- | --- | --- |
| 1 | -4.691 | 0.00 | 211 |
| 2 | -8.462 | 0.00 | 64 |
| 3 | -3.087 | 0.00 | 506 |
| 4 | -4.542 | 0.00 | 198 |
| 5 | -10.034 | 0.00 | 157 |
| 6 | -4.469 | 0.00 | 442 |
| 7 | -2.970 | 0.00 | 205 |